[1]
Below is a relaxed KSiPd crystal, with properties calculated at the PBE level.

VASP energy ... -10.34 eV for the cell shown
Offset from the most stable computed form ... 0.0 meV/atom
Space group ... F-43m

Cell: 4.6670 4.6670 4.6670 Å, 60.00 60.00 60.00°
Closest atoms and distances in Å follow each position.
Fractional coordinates of all 3 atoms:
K1 0.2500 0.2500 0.2500  4 Pd 2.86
Pd1 0.0000 0.0000 0.0000  4 Si 2.86, 4 K 2.86
Si1 0.7500 0.7500 0.7500  4 Pd 2.86

[2]
Below is a relaxed KSnPd crystal, with properties calculated at the PBE level.

VASP energy ... -10.17 eV for the cell shown
Space group ... F-43m

Cell: 4.9072 4.9072 4.9072 Å, 60.00 60.00 60.00°
Closest atoms and distances in Å follow each position.
Fractional coordinates of all 3 atoms:
Sn1 0.7500 0.7500 0.7500  4 Pd 3.01
Pd1 0.0000 0.0000 0.0000  4 Sn 3.01, 4 K 3.01
K1 0.2500 0.2500 0.2500  4 Pd 3.01

[3]
Below is a relaxed KSnPd crystal, with properties calculated at the PBE level.

VASP energy ... -23.03 eV for the cell shown
Space group ... P4/nmm

Cell: 4.8688 4.8688 7.5952 Å, 90.00 90.00 90.00°
Closest atoms and distances in Å follow each position.
Fractional coordinates of all 6 atoms:
Sn1 0.5000 0.0000 0.3469  4 Pd 2.70
Sn2 0.0000 0.5000 0.6531  4 Pd 2.70
Pd1 0.5000 0.5000 0.5000  4 Sn 2.70
Pd2 0.0000 0.0000 0.5000  4 Sn 2.70
K1 0.5000 0.0000 0.8365  4 Pd 3.53, 6 Sn 3.71-3.88
K2 0.0000 0.5000 0.1635  4 Pd 3.53, 6 Sn 3.71-3.88

[4]
Below is a relaxed KSn5Pd3 crystal, with properties calculated at the PBE level.

VASP energy ... -39.55 eV for the cell shown
Space group ... P6/mmm

Cell: 5.5902 5.5902 8.2922 Å, 90.00 90.00 120.00°
Closest atoms and distances in Å follow each position.
Fractional coordinates of all 9 atoms:
Pd1 0.5000 0.0000 0.5000  6 Sn 2.80-2.85, 4 Pd 2.80
Pd2 0.0000 0.5000 0.5000  4 Pd 2.80, 6 Sn 2.80-2.85
Pd3 0.5000 0.5000 0.5000  4 Pd 2.80, 6 Sn 2.80-2.85
Sn1 0.3333 0.6667 0.2163  3 Pd 2.85
Sn2 0.0000 0.0000 0.5000  6 Pd 2.80
Sn3 0.6667 0.3333 0.2163  3 Pd 2.85
Sn4 0.3333 0.6667 0.7837  3 Pd 2.85
Sn5 0.6667 0.3333 0.7837  3 Pd 2.85
K1 0.0000 0.0000 0.0000  12 Sn 3.69

[5]
Below is a relaxed KSnPd crystal, with properties calculated at the PBE level.

VASP energy ... -8.15 eV for the cell shown
Space group ... F-43m

Cell: 5.0844 5.0844 5.0844 Å, 60.00 60.00 60.00°
Closest atoms and distances in Å follow each position.
Fractional coordinates of all 3 atoms:
Pd1 0.2500 0.2500 0.2500  4 K 3.11
K1 0.0000 0.0000 0.0000  4 Sn 3.11, 4 Pd 3.11
Sn1 0.7500 0.7500 0.7500  4 K 3.11

[6]
Below is a relaxed KSrSn4Pd2 crystal, with properties calculated at the PBE level.

VASP energy ... -33.47 eV for the cell shown
Space group ... Amm2

Cell: 7.7857 6.4380 6.4380 Å, 40.70 90.00 90.00°
Closest atoms and distances in Å follow each position.
Fractional coordinates of all 8 atoms:
Sr1 0.5000 0.5572 0.5572  3 Pd 3.30-3.53, 4 Sn 3.46
Sn1 0.6980 0.8435 0.8435  3 Pd 2.81-2.82, 1 Sn 3.08
Sn2 0.1990 0.1570 0.1570  3 Pd 2.80-2.81, 1 Sn 3.10
Sn3 0.3020 0.8435 0.8435  3 Pd 2.81-2.82, 1 Sn 3.08
Sn4 0.8010 0.1570 0.1570  3 Pd 2.80-2.81, 1 Sn 3.10
K1 0.0000 0.4431 0.4431  3 Pd 3.28-3.55, 4 Sn 3.46
Pd1 0.0000 0.7151 0.7151  6 Sn 2.81-2.82
Pd2 0.5000 0.2836 0.2836  6 Sn 2.80-2.81

[7]
Below is a relaxed KSrPd4 crystal, with properties calculated at the PBE level.

VASP energy ... -25.80 eV for the cell shown
Space group ... F-43m

Cell: 5.5875 5.5875 5.5875 Å, 60.00 60.00 60.00°
Closest atoms and distances in Å follow each position.
Fractional coordinates of all 6 atoms:
K1 0.0000 0.0000 0.0000  12 Pd 3.28, 4 Sr 3.42
Pd1 0.8746 0.3751 0.3751  6 Pd 2.79-2.80
Pd2 0.3751 0.8746 0.3751  6 Pd 2.79-2.80
Pd3 0.3751 0.3751 0.3751  6 Pd 2.79-2.80
Pd4 0.3751 0.3751 0.8746  6 Pd 2.79-2.80
Sr1 0.7500 0.7500 0.7500  12 Pd 3.28, 4 K 3.42

[8]
Below is a relaxed KSr3Pd crystal, with properties calculated at the PBE level.

VASP energy ... -12.65 eV for the cell shown
Offset from the most stable computed form ... 0.0 meV/atom
Space group ... Pmmm

Cell: 4.4593 6.1004 8.8552 Å, 90.00 90.00 90.00°
Closest atoms and distances in Å follow each position.
Fractional coordinates of all 5 atoms:
Sr1 0.0000 0.5000 0.2694  2 Pd 3.02
Sr2 0.0000 0.5000 0.7306  2 Pd 3.02
Sr3 0.5000 0.0000 0.5000  2 Pd 3.05
Pd1 0.5000 0.5000 0.5000  6 Sr 3.02-3.05
K1 0.5000 0.0000 0.0000  10 Sr 4.43-4.47, 2 K 4.46

[9]
Below is a relaxed KSr3Pd crystal, with properties calculated at the PBE level.

VASP energy ... -12.62 eV for the cell shown
Offset from the most stable computed form ... 4.5 meV/atom
Space group ... Pm-3m

Cell: 6.1485 6.1485 6.1485 Å, 90.00 90.00 90.00°
Closest atoms and distances in Å follow each position.
Fractional coordinates of all 5 atoms:
Sr1 0.5000 0.0000 0.0000  2 Pd 3.07
Sr2 0.0000 0.0000 0.5000  2 Pd 3.07
Sr3 0.0000 0.5000 0.0000  2 Pd 3.07
K1 0.5000 0.5000 0.5000  12 Sr 4.35
Pd1 0.0000 0.0000 0.0000  6 Sr 3.07

[10]
Below is a relaxed KSrPd crystal, with properties calculated at the PBE level.

VASP energy ... -8.26 eV for the cell shown
Space group ... F-43m

Cell: 5.3616 5.3616 5.3616 Å, 60.00 60.00 60.00°
Closest atoms and distances in Å follow each position.
Fractional coordinates of all 3 atoms:
Pd1 0.0000 0.0000 0.0000  4 Sr 3.28, 4 K 3.28
Sr1 0.7500 0.7500 0.7500  4 Pd 3.28
K1 0.2500 0.2500 0.2500  4 Pd 3.28

[11]
Below is a relaxed KSrTl4Pd2 crystal, with properties calculated at the PBE level.

VASP energy ... -24.99 eV for the cell shown
Space group ... Amm2

Cell: 8.4584 6.1013 6.1013 Å, 43.38 90.00 90.00°
Closest atoms and distances in Å follow each position.
Fractional coordinates of all 8 atoms:
K1 0.0000 0.5630 0.5630  3 Pd 3.18-3.36, 4 Tl 3.53
Tl1 0.6996 0.1474 0.1474  3 Pd 2.94-2.97
Tl2 0.8031 0.8510 0.8510  3 Pd 2.91-2.96
Tl3 0.1969 0.8510 0.8510  3 Pd 2.91-2.96
Tl4 0.3004 0.1474 0.1474  3 Pd 2.94-2.97
Pd1 0.5000 0.7207 0.7207  6 Tl 2.94-2.96, 1 Sr 3.22
Pd2 0.0000 0.2829 0.2829  6 Tl 2.91-2.97, 1 K 3.18
Sr1 0.5000 0.4365 0.4365  3 Pd 3.22-3.33, 4 Tl 3.55

[12]
Below is a relaxed KTaPd crystal, with properties calculated at the PBE level.

VASP energy ... -11.20 eV for the cell shown
Space group ... F-43m

Cell: 4.6178 4.6178 4.6178 Å, 60.00 60.00 60.00°
Closest atoms and distances in Å follow each position.
Fractional coordinates of all 3 atoms:
Pd1 0.2500 0.2500 0.2500  4 K 2.83
Ta1 0.7500 0.7500 0.7500  4 K 2.83
K1 0.0000 0.0000 0.0000  4 Pd 2.83, 4 Ta 2.83